Record 1
Computed, not measured: NbSiPd2 after structural relaxation at the GGA-PBE level of DFT.

a = 3.695 Å, b = 7.153 Å, c = 5.030 Å
α = 90.00°, β = 111.53°, γ = 90.00°
Space group P2_1/m (No. 11)
Inequivalent atoms, fractional coordinates:
Nb  0.056  0.250  0.110 x2
Si  0.235  0.750  0.469 x2
Pd  0.361  0.056  0.721 x4

Output
The value obtained for the total energy is -6.9841 eV/atom. The uncorrected formation energy comes out at -514 meV/atom.

Record 2
Computed, not measured: NbSi3Pd after structural relaxation at the GGA-PBE level of DFT.

a = 4.627 Å, b = 4.627 Å, c = 4.627 Å
α = 90.00°, β = 90.00°, γ = 90.00°
Space group Pm-3m (No. 221)
Inequivalent atoms, fractional coordinates:
Nb  0.000  0.000  0.000 x1
Si  0.000  0.500  0.500 x3
Pd  0.500  0.500  0.500 x1

Output
The value obtained for the total energy is -5.3574 eV/atom. The uncorrected formation energy comes out at 949 meV/atom.

Record 3
Computed, not measured: NbSi2Pd2 after structural relaxation at the GGA-PBE level of DFT.

a = 7.197 Å, b = 7.197 Å, c = 2.876 Å
α = 90.00°, β = 90.00°, γ = 90.00°
Space group P4/mbm (No. 127)
Inequivalent atoms, fractional coordinates:
Nb  0.000  0.000  0.000 x2
Si  0.153  0.347  0.000 x4
Pd  0.144  0.644  0.500 x4

Output
The value obtained for the total energy is -6.7001 eV/atom. The uncorrected formation energy comes out at -440 meV/atom.

Record 4
Computed, not measured: NbSiPd after structural relaxation at the GGA-PBE level of DFT.

a = 4.1857 Å, b = 4.1857 Å, c = 20.5140 Å
α = 90.00°, β = 90.00°, γ = 120.00°
Space group R-3m (No. 166, hexagonal axes)
Inequivalent atoms, fractional coordinates:
Nb  0.0000  0.0000  0.1279 x6
Si  0.0000  0.0000  0.2560 x6
Pd  0.0000  0.0000  0.3744 x6

Output
The value obtained for the total energy is -7.1934 eV/atom. The uncorrected formation energy comes out at -298 meV/atom.

Record 5
Computed, not measured: Nb2Si2Pd after structural relaxation at the GGA-PBE level of DFT.

a = 3.737 Å, b = 5.472 Å, c = 8.356 Å
α = 82.44°, β = 77.11°, γ = 70.05°
Space group P-1 (No. 2)
Inequivalent atoms, fractional coordinates:
Nb  0.031  0.126  0.313 x2
Nb  0.197  0.205  0.899 x2
Si  0.368  0.199  0.563 x2
Si  0.468  0.672  0.892 x2
Pd  0.294  0.558  0.355 x2

Output
The value obtained for the total energy is -7.8654 eV/atom. The uncorrected formation energy comes out at -630 meV/atom.

Record 6
Computed, not measured: Nb2Si4Pd after structural relaxation at the GGA-PBE level of DFT.

a = 4.639 Å, b = 4.639 Å, c = 12.766 Å
α = 90.00°, β = 90.00°, γ = 90.00°
Space group I4/mmm (No. 139)
Inequivalent atoms, fractional coordinates:
Nb  0.000  0.000  0.105 x4
Si  0.000  0.000  0.308 x4
Si  0.000  0.500  0.000 x4
Pd  0.000  0.000  0.500 x2

Output
The value obtained for the total energy is -6.2102 eV/atom. The uncorrected formation energy comes out at 508 meV/atom.

Record 7
Computed, not measured: NbSi2Pd after structural relaxation at the GGA-PBE level of DFT.

a = 6.186 Å, b = 6.186 Å, c = 6.186 Å
α = 90.00°, β = 90.00°, γ = 90.00°
Space group Fm-3m (No. 225)
Inequivalent atoms, fractional coordinates:
Nb  0.000  0.000  0.000 x4
Si  0.250  0.250  0.250 x8
Pd  0.000  0.000  0.500 x4

Output
The value obtained for the total energy is -6.7826 eV/atom. The uncorrected formation energy comes out at -255 meV/atom.

Record 8
Computed, not measured: Sr2NbSiPd after structural relaxation at the GGA-PBE level of DFT.

a = 5.825 Å, b = 5.825 Å, c = 4.594 Å
α = 90.00°, β = 90.00°, γ = 90.00°
Space group P4/mmm (No. 123)
Inequivalent atoms, fractional coordinates:
Sr  0.000  0.500  0.000 x2
Nb  0.000  0.000  0.500 x1
Si  0.500  0.500  0.500 x1
Pd  0.500  0.500  0.000 x1

Output
The value obtained for the total energy is -4.3788 eV/atom. The uncorrected formation energy comes out at 431 meV/atom.

Record 9
Computed, not measured: SmNbPd6 after structural relaxation at the GGA-PBE level of DFT.

a = 4.067 Å, b = 4.067 Å, c = 8.164 Å
α = 90.00°, β = 90.00°, γ = 90.00°
Space group P4/mmm (No. 123)
Inequivalent atoms, fractional coordinates:
Sm  0.000  0.000  0.000 x1
Nb  0.000  0.000  0.500 x1
Pd  0.000  0.500  0.267 x4
Pd  0.500  0.500  0.000 x1
Pd  0.500  0.500  0.500 x1

Output
As for the energy of formation: -0.601 eV/atom. The value obtained for the total energy is -6.3442 eV/atom.

Record 10
Computed, not measured: Sm3NbPd12 after structural relaxation at the GGA-PBE level of DFT.

a = 4.123 Å, b = 4.123 Å, c = 16.467 Å
α = 90.00°, β = 90.00°, γ = 90.00°
Space group P4/mmm (No. 123)
Inequivalent atoms, fractional coordinates:
Sm  0.000  0.000  0.000 x1
Sm  0.000  0.000  0.252 x2
Nb  0.000  0.000  0.500 x1
Pd  0.000  0.500  0.128 x4
Pd  0.000  0.500  0.388 x4
Pd  0.500  0.500  0.000 x1
Pd  0.500  0.500  0.259 x2
Pd  0.500  0.500  0.500 x1

Output
As for the energy of formation: -0.721 eV/atom. The value obtained for the total energy is -6.1294 eV/atom.

Record 11
Computed, not measured: Sm2NbPd9 after structural relaxation at the GGA-PBE level of DFT.

a = 4.102 Å, b = 4.102 Å, c = 12.328 Å
α = 90.00°, β = 90.00°, γ = 90.00°
Space group P4/mmm (No. 123)
Inequivalent atoms, fractional coordinates:
Sm  0.000  0.000  0.168 x2
Nb  0.000  0.000  0.500 x1
Pd  0.000  0.500  0.000 x2
Pd  0.000  0.500  0.349 x4
Pd  0.500  0.500  0.175 x2
Pd  0.500  0.500  0.500 x1

Output
As for the energy of formation: -0.693 eV/atom. The value obtained for the total energy is -6.2128 eV/atom.

Record 12
Computed, not measured: SmNbPd after structural relaxation at the GGA-PBE level of DFT.

a = 3.444 Å, b = 3.444 Å, c = 10.888 Å
α = 90.00°, β = 90.00°, γ = 90.00°
Space group P4/mmm (No. 123)
Inequivalent atoms, fractional coordinates:
Sm  0.000  0.000  0.171 x2
Nb  0.500  0.500  0.372 x2
Pd  0.000  0.000  0.500 x1
Pd  0.500  0.500  0.000 x1

Output
As for the energy of formation: -0.121 eV/atom. The value obtained for the total energy is -6.7814 eV/atom.

Record 13
Computed, not measured: NbSn3Pd12 after structural relaxation at the GGA-PBE level of DFT.

a = 4.020 Å, b = 4.020 Å, c = 16.119 Å
α = 90.00°, β = 90.00°, γ = 90.00°
Space group P4/mmm (No. 123)
Inequivalent atoms, fractional coordinates:
Nb  0.000  0.000  0.000 x1
Sn  0.000  0.000  0.252 x2
Sn  0.000  0.000  0.500 x1
Pd  0.000  0.500  0.119 x4
Pd  0.000  0.500  0.374 x4
Pd  0.500  0.500  0.000 x1
Pd  0.500  0.500  0.246 x2
Pd  0.500  0.500  0.500 x1

Output
As for the energy of formation: -0.484 eV/atom. The value obtained for the total energy is -5.7583 eV/atom.

Record 14
Computed, not measured: NbSnPd3 after structural relaxation at the GGA-PBE level of DFT.

a = 4.890 Å, b = 4.890 Å, c = 4.890 Å
α = 90.00°, β = 90.00°, γ = 90.00°
Space group Pm-3m (No. 221)
Inequivalent atoms, fractional coordinates:
Nb  0.000  0.000  0.000 x1
Sn  0.500  0.500  0.500 x1
Pd  0.000  0.000  0.500 x3

Output
As for the energy of formation: 0.712 eV/atom. The value obtained for the total energy is -5.2178 eV/atom.

Record 15
Computed, not measured: Nb12Sn3Pd after structural relaxation at the GGA-PBE level of DFT.

a = 5.289 Å, b = 5.298 Å, c = 10.610 Å
α = 90.00°, β = 90.00°, γ = 90.00°
Space group Pmmm (No. 47)
Inequivalent atoms, fractional coordinates:
Nb  0.000  0.000  0.119 x2
Nb  0.000  0.000  0.370 x2
Nb  0.249  0.500  0.245 x4
Nb  0.500  0.247  0.500 x2
Nb  0.500  0.256  0.000 x2
Sn  0.000  0.500  0.500 x1
Sn  0.500  0.000  0.251 x2
Pd  0.000  0.500  0.000 x1

Output
As for the energy of formation: -0.169 eV/atom. The value obtained for the total energy is -8.7962 eV/atom.

Record 16
Computed, not measured: NbSn4Pd15 after structural relaxation at the GGA-PBE level of DFT.

a = 4.024 Å, b = 4.024 Å, c = 20.170 Å
α = 90.00°, β = 90.00°, γ = 90.00°
Space group P4/mmm (No. 123)
Inequivalent atoms, fractional coordinates:
Nb  0.000  0.000  0.000 x1
Sn  0.000  0.000  0.201 x2
Sn  0.000  0.000  0.400 x2
Pd  0.000  0.500  0.095 x4
Pd  0.000  0.500  0.299 x4
Pd  0.000  0.500  0.500 x2
Pd  0.500  0.500  0.000 x1
Pd  0.500  0.500  0.196 x2
Pd  0.500  0.500  0.399 x2

Output
As for the energy of formation: -0.490 eV/atom. The value obtained for the total energy is -5.6884 eV/atom.

Record 17
Computed, not measured: NbSnPd3 after structural relaxation at the GGA-PBE level of DFT.

a = 4.822 Å, b = 4.822 Å, c = 4.822 Å
α = 90.00°, β = 90.00°, γ = 90.00°
Space group Pm-3m (No. 221)
Inequivalent atoms, fractional coordinates:
Nb  0.000  0.000  0.000 x1
Sn  0.500  0.500  0.500 x1
Pd  0.000  0.500  0.500 x3

Output
As for the energy of formation: 0.932 eV/atom. The value obtained for the total energy is -4.9983 eV/atom.

Record 18
Computed, not measured: NbSnPd3 after structural relaxation at the GGA-PBE level of DFT.

a = 3.021 Å, b = 6.327 Å, c = 9.790 Å
α = 101.58°, β = 98.72°, γ = 103.76°
Space group P-1 (No. 2)
Inequivalent atoms, fractional coordinates:
Nb  0.141  0.143  0.134 x2
Sn  0.385  0.095  0.672 x2
Pd  0.109  0.491  0.725 x2
Pd  0.356  0.276  0.444 x2
Pd  0.374  0.700  0.049 x2

Output
As for the energy of formation: -0.264 eV/atom. The value obtained for the total energy is -6.1946 eV/atom.

Record 19
Computed, not measured: Nb2SnPd after structural relaxation at the GGA-PBE level of DFT.

a = 4.515 Å, b = 3.459 Å, c = 9.544 Å
α = 90.00°, β = 96.31°, γ = 90.00°
Space group P2_1/m (No. 11)
Inequivalent atoms, fractional coordinates:
Nb  0.027  0.250  0.118 x2
Nb  0.472  0.250  0.876 x2
Sn  0.096  0.750  0.367 x2
Pd  0.407  0.750  0.635 x2

Output
As for the energy of formation: -0.296 eV/atom. The value obtained for the total energy is -7.6302 eV/atom.

Record 20
Computed, not measured: NbSnPd4 after structural relaxation at the GGA-PBE level of DFT.

a = 5.842 Å, b = 9.371 Å, c = 15.208 Å
α = 90.00°, β = 90.00°, γ = 90.00°
Space group Fddd (No. 70, origin choice 2)
Inequivalent atoms, fractional coordinates:
Nb  0.125  0.125  0.125 x8
Sn  0.125  0.125  0.625 x8
Pd  0.121  0.371  0.219 x32

Output
As for the energy of formation: -0.280 eV/atom. The value obtained for the total energy is -6.0877 eV/atom.

Record 21
Computed, not measured: Nb2SnPd after structural relaxation at the GGA-PBE level of DFT.

a = 3.992 Å, b = 3.992 Å, c = 4.527 Å
α = 90.00°, β = 90.00°, γ = 90.00°
Space group P4/mmm (No. 123)
Inequivalent atoms, fractional coordinates:
Nb  0.000  0.500  0.000 x2
Sn  0.000  0.000  0.500 x1
Pd  0.500  0.500  0.500 x1

Output
As for the energy of formation: -0.274 eV/atom. The value obtained for the total energy is -7.6075 eV/atom.

Record 22
Computed, not measured: Nb2SnPd after structural relaxation at the GGA-PBE level of DFT.

a = 7.534 Å, b = 7.534 Å, c = 5.550 Å
α = 90.00°, β = 90.00°, γ = 90.00°
Space group I-42d (No. 122)
Inequivalent atoms, fractional coordinates:
Nb  0.232  0.750  0.125 x8
Sn  0.000  0.000  0.500 x4
Pd  0.000  0.000  0.000 x4

Output
As for the energy of formation: 0.185 eV/atom. The value obtained for the total energy is -7.1486 eV/atom.

Record 23
Computed, not measured: NbTlSnPd2 after structural relaxation at the GGA-PBE level of DFT.

a = 4.913 Å, b = 4.913 Å, c = 5.390 Å
α = 90.00°, β = 90.00°, γ = 90.00°
Space group P4/mmm (No. 123)
Inequivalent atoms, fractional coordinates:
Nb  0.000  0.000  0.000 x1
Tl  0.500  0.500  0.500 x1
Sn  0.500  0.500  0.000 x1
Pd  0.000  0.500  0.500 x2

Output
As for the energy of formation: 1.300 eV/atom. The value obtained for the total energy is -4.0646 eV/atom.

Record 24
Computed, not measured: Sr2NbPd after structural relaxation at the GGA-PBE level of DFT.

a = 7.763 Å, b = 7.763 Å, c = 7.763 Å
α = 90.00°, β = 90.00°, γ = 90.00°
Space group Fm-3m (No. 225)
Inequivalent atoms, fractional coordinates:
Sr  0.250  0.250  0.250 x8
Nb  0.000  0.000  0.000 x4
Pd  0.000  0.000  0.500 x4

Output
As for the energy of formation: 0.510 eV/atom. The value obtained for the total energy is -4.1469 eV/atom.